! Al2CrSe | Alexandria | PBE | relaxed; values from VASP
&SYSTEM
  ibrav = 0, nat = 4, ntyp = 3
/
ATOMIC_SPECIES
Al 26.98 Al.upf
Cr 52.00 Cr.upf
Se 78.96 Se.upf
ATOMIC_POSITIONS crystal
Al 0.0000 0.5000 0.0000
Al 0.5000 0.0000 0.0000
Cr 0.0000 0.0000 0.5000
Se 0.5000 0.5000 0.5000
CELL_PARAMETERS angstrom
4.4985 0.0000 0.0000
0.0000 4.4985 0.0000
0.0000 0.0000 3.2566
! ρ ... 4.66 Mg/m³
! SG ... P4/mmm, No. 123
! Distance to the lowest polymorph of the same formula ... 0.1607 eV per atom
! N(E_F) ... 0.319 states/eV/atom
! Formation energy without anion corrections ... 0.13 eV per atom